# 1
This record from Alexandria via LeMat-Bulk describes a relaxed structure of Sc2PPb. The functional is PBE-GGA.

Structure (CIF):
```
data_Sc2PPb
_chemical_formula_sum 'Sc2 P1 Pb1'
_symmetry_space_group_name_H-M 'P 1'
_symmetry_Int_Tables_number 1
_cell_length_a 4.9889
_cell_length_b 4.9889
_cell_length_c 4.9889
_cell_angle_alpha 60.00
_cell_angle_beta 60.00
_cell_angle_gamma 60.00
loop_
_symmetry_equiv_pos_as_xyz
'x,y,z'
loop_
_atom_site_label
_atom_site_type_symbol
_atom_site_fract_x
_atom_site_fract_y
_atom_site_fract_z
Pb1 Pb 0.2500 0.2500 0.2500
Sc1 Sc 0.0000 0.0000 0.0000
Sc2 Sc 0.7500 0.7500 0.7500
P1 P 0.5000 0.5000 0.5000
```

Calculated values
Energy above the lowest structure with this stoichiometry: 1.0664 eV per atom
ΔH_f (0 K): 0.0791 eV per atom
Theoretical density: 6.205 g/cm³
Fermi-level density of states: 5.41 states/eV/cell

# 2
This record from Alexandria via LeMat-Bulk describes a relaxed structure of BaCoTc2. The functional is PBE-GGA.

Structure (CIF):
```
data_BaCoTc2
_chemical_formula_sum 'Ba2 Co2 Tc4'
_symmetry_space_group_name_H-M 'P 1'
_symmetry_Int_Tables_number 1
_cell_length_a 4.8905
_cell_length_b 4.8905
_cell_length_c 8.9319
_cell_angle_alpha 74.11
_cell_angle_beta 74.11
_cell_angle_gamma 90.00
loop_
_symmetry_equiv_pos_as_xyz
'x,y,z'
loop_
_atom_site_label
_atom_site_type_symbol
_atom_site_fract_x
_atom_site_fract_y
_atom_site_fract_z
Tc1 Tc 0.3750 0.1250 0.2500
Tc2 Tc 0.3750 0.6250 0.2500
Tc3 Tc 0.3750 0.6250 0.7500
Tc4 Tc 0.8750 0.6250 0.7500
Co1 Co 0.2500 0.7500 0.5000
Co2 Co 0.5000 0.5000 0.0000
Ba1 Ba 0.7500 0.2500 0.5000
Ba2 Ba 0.0000 0.0000 0.0000
```

Calculated values
Energy above the lowest structure with this stoichiometry: 0.5168 eV per atom
ΔH_f (0 K): 0.9753 eV per atom
Theoretical density: 6.614 g/cm³
Fermi-level density of states: 13.39 states/eV/cell

# 3
This record from Alexandria via LeMat-Bulk describes a relaxed structure of MgHN2O. The functional is PBE-GGA.

Structure (CIF):
```
data_MgHN2O
_chemical_formula_sum 'Mg1 H1 N2 O1'
_symmetry_space_group_name_H-M 'P 1'
_symmetry_Int_Tables_number 1
_cell_length_a 4.4832
_cell_length_b 4.4832
_cell_length_c 3.8232
_cell_angle_alpha 90.00
_cell_angle_beta 90.00
_cell_angle_gamma 90.00
loop_
_symmetry_equiv_pos_as_xyz
'x,y,z'
loop_
_atom_site_label
_atom_site_type_symbol
_atom_site_fract_x
_atom_site_fract_y
_atom_site_fract_z
H1 H 0.5000 0.5000 0.5000
O1 O 0.0000 0.0000 0.5000
N1 N 0.5000 0.0000 0.0000
N2 N 0.0000 0.5000 0.0000
Mg1 Mg 0.0000 0.0000 0.0000
```

Calculated values
Theoretical density: 1.498 g/cm³
Electronic total energy: -18.059 eV for the cell shown
Fermi-level density of states: 1.97 states/eV/cell

# 4
This record from Alexandria via LeMat-Bulk describes a relaxed structure of SrDyBi2. The functional is PBE-GGA.

Structure (CIF):
```
data_SrDyBi2
_chemical_formula_sum 'Sr1 Dy1 Bi2'
_symmetry_space_group_name_H-M 'P 1'
_symmetry_Int_Tables_number 1
_cell_length_a 4.5193
_cell_length_b 4.5193
_cell_length_c 8.4508
_cell_angle_alpha 74.38
_cell_angle_beta 74.38
_cell_angle_gamma 60.33
loop_
_symmetry_equiv_pos_as_xyz
'x,y,z'
loop_
_atom_site_label
_atom_site_type_symbol
_atom_site_fract_x
_atom_site_fract_y
_atom_site_fract_z
Dy1 Dy 0.0000 0.0000 0.0000
Sr1 Sr 0.5000 0.5000 0.5000
Bi1 Bi 0.2579 0.2579 0.2261
Bi2 Bi 0.7421 0.7421 0.7739
```

Calculated values
Energy above the lowest structure with this stoichiometry: 0.0000 eV per atom
ΔH_f (0 K): -0.7637 eV per atom
Theoretical density: 7.784 g/cm³
Fermi-level density of states: 2.39 states/eV/cell

# 5
This record from Alexandria via LeMat-Bulk describes a relaxed structure of Rb2Tl9Pt3. The functional is PBE-GGA.

Structure (CIF):
```
data_Rb2Tl9Pt3
_chemical_formula_sum 'Rb4 Tl18 Pt6'
_symmetry_space_group_name_H-M 'P 1'
_symmetry_Int_Tables_number 1
_cell_length_a 9.4039
_cell_length_b 9.4039
_cell_length_c 13.4827
_cell_angle_alpha 107.97
_cell_angle_beta 126.99
_cell_angle_gamma 72.24
loop_
_symmetry_equiv_pos_as_xyz
'x,y,z'
loop_
_atom_site_label
_atom_site_type_symbol
_atom_site_fract_x
_atom_site_fract_y
_atom_site_fract_z
Pt1 Pt 0.5000 0.0000 0.0000
Pt2 Pt 0.1395 0.9114 0.4956
Pt3 Pt 0.0843 0.3562 0.9956
Pt4 Pt 0.9157 0.6438 0.0044
Pt5 Pt 0.5000 0.5000 0.5000
Pt6 Pt 0.8605 0.0886 0.5044
Tl1 Tl 0.1451 0.0651 0.3445
Tl2 Tl 0.3513 0.4529 0.2434
Tl3 Tl 0.5794 0.6794 0.9900
Tl4 Tl 0.4206 0.3206 0.0100
Tl5 Tl 0.6487 0.5471 0.7566
Tl6 Tl 0.7761 0.9483 0.9614
Tl7 Tl 0.0068 0.2568 0.7500
Tl8 Tl 0.2239 0.0517 0.0386
Tl9 Tl 0.2207 0.8006 0.1555
Tl10 Tl 0.4868 0.8146 0.5386
Tl11 Tl 0.7095 0.1079 0.2566
Tl12 Tl 0.2905 0.8921 0.7434
Tl13 Tl 0.8550 0.9349 0.6555
Tl14 Tl 0.7793 0.1994 0.8445
Tl15 Tl 0.1894 0.5894 0.5100
Tl16 Tl 0.9932 0.7432 0.2500
Tl17 Tl 0.5132 0.1854 0.4614
Tl18 Tl 0.8106 0.4106 0.4900
Rb1 Rb 0.9087 0.3542 0.1624
Rb2 Rb 0.3082 0.2536 0.6624
Rb3 Rb 0.6918 0.7464 0.3376
Rb4 Rb 0.0913 0.6458 0.8376
```

Calculated values
ΔH_f (0 K): -0.0538 eV per atom
Theoretical density: 9.636 g/cm³
Fermi-level density of states: 12.98 states/eV/cell

# 6
This record from Alexandria via LeMat-Bulk describes a relaxed structure of Ba3Tl4Pd4. The functional is PBE-GGA.

Structure (CIF):
```
data_Ba3Tl4Pd4
_chemical_formula_sum 'Ba3 Tl4 Pd4'
_symmetry_space_group_name_H-M 'P 1'
_symmetry_Int_Tables_number 1
_cell_length_a 4.6080
_cell_length_b 8.3842
_cell_length_c 9.1956
_cell_angle_alpha 117.12
_cell_angle_beta 104.51
_cell_angle_gamma 90.00
loop_
_symmetry_equiv_pos_as_xyz
'x,y,z'
loop_
_atom_site_label
_atom_site_type_symbol
_atom_site_fract_x
_atom_site_fract_y
_atom_site_fract_z
Pd1 Pd 0.2160 0.7160 0.4320
Pd2 Pd 0.5000 0.1813 0.0000
Pd3 Pd 0.5000 0.8187 0.0000
Pd4 Pd 0.7840 0.2840 0.5680
Tl1 Tl 0.6696 0.4741 0.3392
Tl2 Tl 0.3304 0.1349 0.6608
Tl3 Tl 0.6696 0.8651 0.3392
Tl4 Tl 0.3304 0.5259 0.6608
Ba1 Ba 0.0000 0.5000 0.0000
Ba2 Ba 0.1240 0.1240 0.2479
Ba3 Ba 0.8760 0.8760 0.7521
```

Calculated values
ΔH_f (0 K): -0.4728 eV per atom
Theoretical density: 9.059 g/cm³
Fermi-level density of states: 4.48 states/eV/cell

# 7
This record from Alexandria via LeMat-Bulk describes a relaxed structure of MgAl2Os2. The functional is PBE-GGA.

Structure (CIF):
```
data_MgAl2Os2
_chemical_formula_sum 'Mg2 Al4 Os4'
_symmetry_space_group_name_H-M 'P 1'
_symmetry_Int_Tables_number 1
_cell_length_a 7.3251
_cell_length_b 7.3251
_cell_length_c 2.8940
_cell_angle_alpha 90.00
_cell_angle_beta 90.00
_cell_angle_gamma 90.00
loop_
_symmetry_equiv_pos_as_xyz
'x,y,z'
loop_
_atom_site_label
_atom_site_type_symbol
_atom_site_fract_x
_atom_site_fract_y
_atom_site_fract_z
Os1 Os 0.8512 0.6488 0.0000
Os2 Os 0.1488 0.3512 0.0000
Os3 Os 0.6488 0.1488 0.0000
Os4 Os 0.3512 0.8512 0.0000
Al1 Al 0.6461 0.8539 0.5000
Al2 Al 0.8539 0.3539 0.5000
Al3 Al 0.3539 0.1461 0.5000
Al4 Al 0.1461 0.6461 0.5000
Mg1 Mg 0.0000 0.0000 0.0000
Mg2 Mg 0.5000 0.5000 0.0000
```

Calculated values
Energy above the lowest structure with this stoichiometry: 0.0434 eV per atom
ΔH_f (0 K): -0.1511 eV per atom
Theoretical density: 9.811 g/cm³
Fermi-level density of states: 5.05 states/eV/cell

# 8
This record from Alexandria via LeMat-Bulk describes a relaxed structure of KLaY. The functional is PBE-GGA.

Structure (CIF):
```
data_KLaY
_chemical_formula_sum 'K1 La1 Y1'
_symmetry_space_group_name_H-M 'P 1'
_symmetry_Int_Tables_number 1
_cell_length_a 3.7458
_cell_length_b 3.7458
_cell_length_c 10.2397
_cell_angle_alpha 90.00
_cell_angle_beta 90.00
_cell_angle_gamma 120.00
loop_
_symmetry_equiv_pos_as_xyz
'x,y,z'
loop_
_atom_site_label
_atom_site_type_symbol
_atom_site_fract_x
_atom_site_fract_y
_atom_site_fract_z
Y1 Y 0.6667 0.3333 0.6377
K1 K 0.0000 0.0000 0.9963
La1 La 0.3333 0.6667 0.3660
```

Calculated values
Energy above the lowest structure with this stoichiometry: 0.0000 eV per atom
ΔH_f (0 K): 0.2336 eV per atom
Theoretical density: 3.562 g/cm³
Fermi-level density of states: 4.96 states/eV/cell

# 9
This record from Alexandria via LeMat-Bulk describes a relaxed structure of Tb4Dy8Th. The functional is PBE-GGA.

Structure (CIF):
```
data_Tb4Dy8Th
_chemical_formula_sum 'Tb4 Dy8 Th1'
_symmetry_space_group_name_H-M 'P 1'
_symmetry_Int_Tables_number 1
_cell_length_a 7.7486
_cell_length_b 7.7486
_cell_length_c 7.7486
_cell_angle_alpha 90.11
_cell_angle_beta 90.11
_cell_angle_gamma 90.11
loop_
_symmetry_equiv_pos_as_xyz
'x,y,z'
loop_
_atom_site_label
_atom_site_type_symbol
_atom_site_fract_x
_atom_site_fract_y
_atom_site_fract_z
Dy1 Dy 0.7595 0.2418 0.7595
Dy2 Dy 0.7582 0.2405 0.2405
Dy3 Dy 0.2405 0.2405 0.7582
Dy4 Dy 0.2408 0.2408 0.2408
Dy5 Dy 0.2418 0.7595 0.7595
Dy6 Dy 0.2405 0.7582 0.2405
Dy7 Dy 0.7595 0.7595 0.2418
Dy8 Dy 0.7592 0.7592 0.7592
Tb1 Tb 0.5000 0.0000 0.5000
Tb2 Tb 0.0000 0.0000 0.0000
Tb3 Tb 0.0000 0.5000 0.5000
Tb4 Tb 0.5000 0.5000 0.0000
Th1 Th 0.5000 0.5000 0.5000
```

Calculated values
ΔH_f (0 K): 0.5113 eV per atom
Theoretical density: 7.737 g/cm³
Fermi-level density of states: 23.37 states/eV/cell

# 10
This record from Alexandria via LeMat-Bulk describes a relaxed structure of NaInIr2. The functional is PBE-GGA.

Structure (CIF):
```
data_NaInIr2
_chemical_formula_sum 'Na2 In2 Ir4'
_symmetry_space_group_name_H-M 'P 1'
_symmetry_Int_Tables_number 1
_cell_length_a 7.8453
_cell_length_b 7.8453
_cell_length_c 6.1130
_cell_angle_alpha 50.08
_cell_angle_beta 50.08
_cell_angle_gamma 90.00
loop_
_symmetry_equiv_pos_as_xyz
'x,y,z'
loop_
_atom_site_label
_atom_site_type_symbol
_atom_site_fract_x
_atom_site_fract_y
_atom_site_fract_z
Ir1 Ir 0.6622 0.1250 0.2500
Ir2 Ir 0.0878 0.6250 0.2500
Ir3 Ir 0.8750 0.9122 0.7500
Ir4 Ir 0.3750 0.3378 0.7500
In1 In 0.7500 0.2500 0.5000
In2 In 0.0000 0.0000 0.0000
Na1 Na 0.2500 0.7500 0.5000
Na2 Na 0.5000 0.5000 0.0000
```

Calculated values
ΔH_f (0 K): 0.6404 eV per atom
Theoretical density: 10.973 g/cm³
Fermi-level density of states: 4.17 states/eV/cell

# 11
This record from Alexandria via LeMat-Bulk describes a relaxed structure of NiCSe2. The functional is PBE-GGA.

Structure (CIF):
```
data_NiCSe2
_chemical_formula_sum 'Ni2 C2 Se4'
_symmetry_space_group_name_H-M 'P 1'
_symmetry_Int_Tables_number 1
_cell_length_a 5.1223
_cell_length_b 5.1223
_cell_length_c 6.1361
_cell_angle_alpha 65.33
_cell_angle_beta 65.33
_cell_angle_gamma 90.00
loop_
_symmetry_equiv_pos_as_xyz
'x,y,z'
loop_
_atom_site_label
_atom_site_type_symbol
_atom_site_fract_x
_atom_site_fract_y
_atom_site_fract_z
Se1 Se 0.1529 0.6250 0.2500
Se2 Se 0.5971 0.1250 0.2500
Se3 Se 0.8750 0.8471 0.7500
Se4 Se 0.3750 0.4029 0.7500
Ni1 Ni 0.7500 0.2500 0.5000
Ni2 Ni 0.0000 0.0000 0.0000
C1 C 0.2500 0.7500 0.5000
C2 C 0.5000 0.5000 0.0000
```

Calculated values
Raw formation energy: 0.6913 eV per atom
Theoretical density: 5.842 g/cm³
Fermi-level density of states: 0.52 states/eV/cell

# 12
This record from Alexandria via LeMat-Bulk describes a relaxed structure of TbPm6Nd2Er3. The functional is PBE-GGA.

Structure (CIF):
```
data_TbPm6Nd2Er3
_chemical_formula_sum 'Tb1 Pm6 Nd2 Er3'
_symmetry_space_group_name_H-M 'P 1'
_symmetry_Int_Tables_number 1
_cell_length_a 6.2653
_cell_length_b 6.2653
_cell_length_c 11.9258
_cell_angle_alpha 95.01
_cell_angle_beta 95.01
_cell_angle_gamma 120.00
loop_
_symmetry_equiv_pos_as_xyz
'x,y,z'
loop_
_atom_site_label
_atom_site_type_symbol
_atom_site_fract_x
_atom_site_fract_y
_atom_site_fract_z
Pm1 Pm 0.0846 0.4172 0.2539
Pm2 Pm 0.4172 0.0846 0.2539
Pm3 Pm 0.9154 0.5828 0.7461
Pm4 Pm 0.5828 0.9154 0.7461
Pm5 Pm 0.2480 0.2480 0.7460
Pm6 Pm 0.7520 0.7520 0.2540
Nd1 Nd 0.6668 0.3332 0.0000
Nd2 Nd 0.3332 0.6668 0.0000
Tb1 Tb 0.0000 0.0000 0.0000
Er1 Er 0.5000 0.5000 0.5000
Er2 Er 0.8336 0.1664 0.5000
Er3 Er 0.1664 0.8336 0.5000
```

Calculated values
ΔH_f (0 K): 0.0156 eV per atom
Theoretical density: 7.567 g/cm³
Fermi-level density of states: 15.22 states/eV/cell

The highest Fermi-level density of states belongs to which entry? Tb4Dy8Th

Fermi-level density of states of number 1 (Sc2PPb)? 5.41 states/eV/cell